Model A:
Below is a geometry-optimized V3GePt structure, with properties calculated at the PBE level.

```
data_V3GePt
_cell_length_a 4.6984
_cell_length_b 4.6984
_cell_length_c 4.6984
_cell_angle_alpha 90.00
_cell_angle_beta 90.00
_cell_angle_gamma 90.00
_symmetry_space_group_name_H-M 'P m -3 m'
_symmetry_Int_Tables_number 221
_symmetry_space_group_name_Hall '-P 4 2 3'
loop_
_atom_site_label
_atom_site_fract_x
_atom_site_fract_y
_atom_site_fract_z
_atom_site_occupancy
V1 0.0000 0.0000 0.5000 1
Ge1 0.5000 0.5000 0.5000 1
Pt1 0.0000 0.0000 0.0000 1
```

Results
DOS(E_F) = 2.0265 states/eV per atom
magnetization = 4.39 μB per formula unit
ρ = 6733 kg/m³

Model B:
Below is a geometry-optimized V3GePt structure, with properties calculated at the PBE level.

```
data_V3GePt
_cell_length_a 5.1463
_cell_length_b 5.1545
_cell_length_c 6.9866
_cell_angle_alpha 74.06
_cell_angle_beta 74.10
_cell_angle_gamma 66.91
_symmetry_space_group_name_H-M 'P -1'
_symmetry_Int_Tables_number 2
loop_
_symmetry_equiv_pos_as_xyz
'x,y,z'
'-x,-y,-z'
loop_
_atom_site_label
_atom_site_fract_x
_atom_site_fract_y
_atom_site_fract_z
_atom_site_occupancy
V1 0.0752 0.0898 0.1906 1
V2 0.0760 0.5764 0.1634 1
V3 0.4104 0.4249 0.8097 1
Ge1 0.1605 0.6615 0.4952 1
Pt1 0.4001 0.9000 0.8685 1
```

Results
DOS(E_F) = 0.9605 states/eV per atom
magnetization = 0.00 μB per formula unit
ρ = 8675 kg/m³

Relative calculated energies, zero for the most stable structure, unit meV/atom: model A 1099; model B 0.

Model A:
Below is a geometry-optimized B2C structure, with properties calculated at the PBE level.

```
data_B2C
_cell_length_a 3.8136
_cell_length_b 4.0929
_cell_length_c 6.0047
_cell_angle_alpha 90.00
_cell_angle_beta 110.75
_cell_angle_gamma 90.00
_symmetry_space_group_name_H-M 'P 1 2/c 1'
_symmetry_Int_Tables_number 13
loop_
_symmetry_equiv_pos_as_xyz
'x,y,z'
'-x,-y,-z'
'-x,y,-z+1/2'
'x,-y,z+1/2'
loop_
_atom_site_label
_atom_site_fract_x
_atom_site_fract_y
_atom_site_fract_z
_atom_site_occupancy
B1 0.0000 0.0809 0.2500 1
B2 0.1802 0.3645 0.0553 1
B3 0.5000 0.3292 0.7500 1
C1 0.3446 0.1076 0.9236 1
```

Results
DOS(E_F) = 0.1870 states/eV per atom
magnetization = 0.00 μB per formula unit
ρ = 2549 kg/m³

Model B:
Below is a geometry-optimized B2C structure, with properties calculated at the PBE level.

```
data_B2C
_cell_length_a 2.7079
_cell_length_b 2.7079
_cell_length_c 15.6654
_cell_angle_alpha 90.00
_cell_angle_beta 90.00
_cell_angle_gamma 120.00
_symmetry_space_group_name_H-M 'P -3 m 1'
_symmetry_Int_Tables_number 164
_symmetry_space_group_name_Hall '-P 3 2"'
loop_
_atom_site_label
_atom_site_fract_x
_atom_site_fract_y
_atom_site_fract_z
_atom_site_occupancy
B1 0.0000 0.0000 0.0532 1
B2 0.3333 0.6667 0.1183 1
B3 0.3333 0.6667 0.5664 1
B4 0.3333 0.6667 0.7748 1
C1 0.0000 0.0000 0.4441 1
C2 0.3333 0.6667 0.2190 1
```

Results
DOS(E_F) = 0.1791 states/eV per atom
magnetization = 0.00 μB per formula unit
ρ = 2246 kg/m³

Relative calculated energies, zero for the most stable structure, unit meV/atom: model A 101; model B 0.

Model A:
Below is a geometry-optimized B5C7 structure, with properties calculated at the PBE level.

```
data_B5C7
_cell_length_a 2.4434
_cell_length_b 2.5597
_cell_length_c 12.5259
_cell_angle_alpha 90.00
_cell_angle_beta 90.00
_cell_angle_gamma 90.00
_symmetry_space_group_name_H-M 'P m m 2'
_symmetry_Int_Tables_number 25
loop_
_symmetry_equiv_pos_as_xyz
'x,y,z'
'-x,-y,z'
'-x,y,z'
'x,-y,z'
loop_
_atom_site_label
_atom_site_fract_x
_atom_site_fract_y
_atom_site_fract_z
_atom_site_occupancy
B1 0.0000 0.0000 0.0000 1
B2 0.0000 0.0000 0.3115 1
B3 0.0000 0.0000 0.6560 1
B4 0.5000 0.0000 0.5462 1
B5 0.5000 0.0000 0.8904 1
C1 0.0000 0.5000 0.0787 1
C2 0.0000 0.5000 0.3960 1
C3 0.0000 0.5000 0.7392 1
C4 0.5000 0.0000 0.2213 1
C5 0.5000 0.5000 0.1518 1
C6 0.5000 0.5000 0.4634 1
C7 0.5000 0.5000 0.8067 1
```

Results
DOS(E_F) = 0.1075 states/eV per atom
magnetization = 0.00 μB per formula unit
ρ = 2928 kg/m³

Model B:
Below is a geometry-optimized B5C7 structure, with properties calculated at the PBE level.

```
data_B5C7
_cell_length_a 12.4201
_cell_length_b 2.4862
_cell_length_c 5.2174
_cell_angle_alpha 90.00
_cell_angle_beta 103.66
_cell_angle_gamma 90.00
_symmetry_space_group_name_H-M 'C 1 m 1'
_symmetry_Int_Tables_number 8
loop_
_symmetry_equiv_pos_as_xyz
'x,y,z'
'x,-y,z'
'x+1/2,y+1/2,z'
'x+1/2,-y+1/2,z'
loop_
_atom_site_label
_atom_site_fract_x
_atom_site_fract_y
_atom_site_fract_z
_atom_site_occupancy
B1 0.0000 0.0000 0.0000 1
B2 0.0198 0.0000 0.4267 1
B3 0.0914 0.0000 0.8008 1
B4 0.1934 0.5000 0.8129 1
B5 0.4179 0.0000 0.4394 1
C1 0.1155 0.0000 0.2799 1
C2 0.1888 0.5000 0.3152 1
C3 0.2650 0.5000 0.1188 1
C4 0.2669 0.5000 0.6053 1
C5 0.3358 0.0000 0.1361 1
C6 0.3435 0.0000 0.6507 1
C7 0.4106 0.0000 0.9431 1
```

Results
DOS(E_F) = 0.2623 states/eV per atom
magnetization = 0.00 μB per formula unit
ρ = 2930 kg/m³

Relative calculated energies, zero for the most stable structure, unit meV/atom: model A 0; model B 81.

Model A:
Below is a geometry-optimized CaY2Rh structure, with properties calculated at the PBE level.

```
data_CaY2Rh
_cell_length_a 4.0331
_cell_length_b 4.0331
_cell_length_c 27.4389
_cell_angle_alpha 90.00
_cell_angle_beta 90.00
_cell_angle_gamma 120.00
_symmetry_space_group_name_H-M 'R 3 m'
_symmetry_Int_Tables_number 160
_symmetry_space_group_name_Hall 'R 3 -2"'
loop_
_atom_site_label
_atom_site_fract_x
_atom_site_fract_y
_atom_site_fract_z
_atom_site_occupancy
Ca1 0.0000 0.0000 0.0000 1
Y1 0.0000 0.0000 0.5519 1
Y2 0.0000 0.0000 0.7775 1
Rh1 0.0000 0.0000 0.1647 1
```

Results
DOS(E_F) = 1.0485 states/eV per atom
magnetization = 0.00 μB per formula unit
ρ = 4135 kg/m³

Model B:
Below is a geometry-optimized CaY2Rh structure, with properties calculated at the PBE level.

```
data_CaY2Rh
_cell_length_a 7.3455
_cell_length_b 7.3455
_cell_length_c 7.3455
_cell_angle_alpha 90.00
_cell_angle_beta 90.00
_cell_angle_gamma 90.00
_symmetry_space_group_name_H-M 'F m -3 m'
_symmetry_Int_Tables_number 225
_symmetry_space_group_name_Hall '-F 4 2 3'
loop_
_atom_site_label
_atom_site_fract_x
_atom_site_fract_y
_atom_site_fract_z
_atom_site_occupancy
Ca1 0.0000 0.0000 0.0000 1
Y1 0.2500 0.2500 0.2500 1
Rh1 0.0000 0.0000 0.5000 1
```

Results
DOS(E_F) = 0.7885 states/eV per atom
magnetization = 0.00 μB per formula unit
ρ = 5376 kg/m³

Relative calculated energies, zero for the most stable structure, unit meV/atom: model A 0; model B 244.

Model A:
Below is a geometry-optimized PuVRe structure, with properties calculated at the PBE level.

```
data_PuVRe
_cell_length_a 4.4855
_cell_length_b 4.4855
_cell_length_c 2.8292
_cell_angle_alpha 90.00
_cell_angle_beta 90.00
_cell_angle_gamma 120.00
_symmetry_space_group_name_H-M 'P 3 m 1'
_symmetry_Int_Tables_number 156
loop_
_symmetry_equiv_pos_as_xyz
'x,y,z'
'-y,x-y,z'
'-x+y,-x,z'
'-y,-x,z'
'-x+y,y,z'
'x,x-y,z'
loop_
_atom_site_label
_atom_site_fract_x
_atom_site_fract_y
_atom_site_fract_z
_atom_site_occupancy
Pu1 0.0000 0.0000 0.0000 1
V1 0.6667 0.3333 0.7191 1
Re1 0.3333 0.6667 0.3231 1
```

Results
DOS(E_F) = 1.6165 states/eV per atom
magnetization = 4.15 μB per formula unit
ρ = 16208 kg/m³

Model B:
Below is a geometry-optimized PuVRe structure, with properties calculated at the PBE level.

```
data_PuVRe
_cell_length_a 3.0790
_cell_length_b 3.0790
_cell_length_c 11.0223
_cell_angle_alpha 90.00
_cell_angle_beta 90.00
_cell_angle_gamma 90.00
_symmetry_space_group_name_H-M 'I 4 m m'
_symmetry_Int_Tables_number 107
_symmetry_space_group_name_Hall 'I 4 -2'
loop_
_atom_site_label
_atom_site_fract_x
_atom_site_fract_y
_atom_site_fract_z
_atom_site_occupancy
Pu1 0.0000 0.0000 0.0000 1
V1 0.0000 0.0000 0.6902 1
Re1 0.0000 0.0000 0.3124 1
```

Results
DOS(E_F) = 1.8053 states/eV per atom
magnetization = 4.56 μB per formula unit
ρ = 15293 kg/m³

Relative calculated energies, zero for the most stable structure, unit meV/atom: model A 69; model B 0.

Model A:
Below is a geometry-optimized BC3 structure, with properties calculated at the PBE level.

```
data_BC3
_cell_length_a 2.5766
_cell_length_b 2.5766
_cell_length_c 25.8473
_cell_angle_alpha 90.00
_cell_angle_beta 90.00
_cell_angle_gamma 120.00
_symmetry_space_group_name_H-M 'R -3 m'
_symmetry_Int_Tables_number 166
_symmetry_space_group_name_Hall '-R 3 2"'
loop_
_atom_site_label
_atom_site_fract_x
_atom_site_fract_y
_atom_site_fract_z
_atom_site_occupancy
B1 0.0000 0.0000 0.2215 1
C1 0.0000 0.0000 0.0306 1
C2 0.0000 0.0000 0.2838 1
C3 0.0000 0.0000 0.4726 1
```

Results
DOS(E_F) = 0.2036 states/eV per atom
magnetization = 0.00 μB per formula unit
ρ = 3141 kg/m³

Model B:
Below is a geometry-optimized BC3 structure, with properties calculated at the PBE level.

```
data_BC3
_cell_length_a 5.0676
_cell_length_b 5.2543
_cell_length_c 4.5407
_cell_angle_alpha 90.00
_cell_angle_beta 123.87
_cell_angle_gamma 90.00
_symmetry_space_group_name_H-M 'C 1 2/m 1'
_symmetry_Int_Tables_number 12
loop_
_symmetry_equiv_pos_as_xyz
'x,y,z'
'-x,-y,-z'
'-x,y,-z'
'x,-y,z'
'x+1/2,y+1/2,z'
'-x+1/2,-y+1/2,-z'
'-x+1/2,y+1/2,-z'
'x+1/2,-y+1/2,z'
loop_
_atom_site_label
_atom_site_fract_x
_atom_site_fract_y
_atom_site_fract_z
_atom_site_occupancy
B1 0.2406 0.0000 0.1593 1
C1 0.1893 0.2433 0.6229 1
C2 0.1974 0.5000 0.1485 1
```

Results
DOS(E_F) = 0.1254 states/eV per atom
magnetization = 0.00 μB per formula unit
ρ = 3099 kg/m³

Relative calculated energies, zero for the most stable structure, unit meV/atom: model A 0; model B 43.